Entry 1:
AsIr3 PBE-GGA relaxed; calculated total energy = -7.731 eV per atom; formation energy from the elements = 77.2 meV/atom; symmetry = Pnma; energy above the lowest structure with this stoichiometry = 0.00 kJ/mol of atoms; total moment = 0.00 μB per formula unit
1.0
5.325 0.000 0.000
0.000 8.327 0.000
0.000 0.000 5.369
As Ir
4 12
Direct
0.003 0.250 0.021
0.497 0.750 0.521
0.503 0.250 0.479
0.997 0.750 0.979
0.022 0.750 0.512
0.187 0.511 0.186
0.187 0.989 0.186
0.313 0.011 0.686
0.313 0.489 0.686
0.478 0.250 0.012
0.522 0.750 0.988
0.687 0.511 0.314
0.687 0.989 0.314
0.813 0.011 0.814
0.813 0.489 0.814
0.978 0.250 0.488



Entry 2:
MgSc2Re PBE-GGA relaxed; calculated total energy = -6.777 eV per atom; formation energy from the elements = -100.2 meV/atom; symmetry = P4/mmm; total moment = 0.00 μB per formula unit
1.0
3.310 0.000 0.000
0.000 3.310 0.000
0.000 0.000 7.542
Mg Sc Re
1 2 1
Direct
0.000 0.000 0.000
0.500 0.500 0.298
0.500 0.500 0.702
0.000 0.000 0.500



Entry 3:
SbAs4 PBE-GGA relaxed; calculated total energy = -4.250 eV per atom; symmetry = I4/mmm; energy above the lowest structure with this stoichiometry = 0.00 kJ/mol of atoms; uncorrected formation energy = 141.7 kJ/mol of formula units; total moment = 0.00 μB per formula unit
1.0
-2.565 2.565 4.317
2.565 -2.565 4.317
2.565 2.565 -4.317
Sb As
1 4
Direct
0.000 0.000 0.000
0.250 0.750 0.500
0.347 0.347 0.000
0.653 0.653 0.000
0.750 0.250 0.500



Entry 4:
BaCdPt PBE-GGA relaxed; calculated total energy = -3.366 eV per atom; formation energy from the elements = -406.5 meV/atom; symmetry = I4mm; total moment = 0.00 μB per formula unit
1.0
-1.881 1.881 5.779
1.881 -1.881 5.779
1.881 1.881 -5.779
Ba Cd Pt
1 1 1
Direct
0.000 0.000 0.000
0.281 0.281 0.000
0.682 0.682 0.000



Entry 5:
K5AlTl6 PBE-GGA relaxed; calculated total energy = -2.008 eV per atom; formation energy from the elements = -55.9 meV/atom; symmetry = C2/m; total moment = 0.00 μB per formula unit
1.0
3.625 -8.204 0.000
3.625 8.204 0.000
-2.860 0.000 8.231
K Al Tl
5 1 6
Direct
0.000 0.000 0.000
0.294 0.706 0.000
0.359 0.641 0.500
0.641 0.359 0.500
0.706 0.294 0.000
0.000 0.000 0.500
0.077 0.777 0.313
0.223 0.923 0.687
0.371 0.371 0.796
0.629 0.629 0.204
0.777 0.077 0.313
0.923 0.223 0.687



Entry 6:
CuHgIr3 PBE-GGA relaxed; calculated total energy = -4.642 eV per atom; formation energy from the elements = 1554.1 meV/atom; symmetry = Pm-3m; energy above the lowest structure with this stoichiometry = 0.00 kJ/mol of atoms; total moment = 0.00 μB per formula unit
1.0
4.522 0.000 0.000
0.000 4.522 0.000
0.000 0.000 4.522
Cu Hg Ir
1 1 3
Direct
0.000 0.000 0.000
0.500 0.500 0.500
0.000 0.000 0.500
0.000 0.500 0.000
0.500 0.000 0.000



Entry 7:
KLa2CuO4 PBE-GGA relaxed; calculated total energy = -6.796 eV per atom; symmetry = Cmcm; uncorrected formation energy = -1879.9 kJ/mol of formula units; total moment = 0.00 μB per formula unit
1.0
1.894 -6.405 0.000
1.894 6.405 0.000
0.000 0.000 11.859
K La Cu O
2 4 2 8
Direct
0.067 0.933 0.750
0.933 0.067 0.250
0.371 0.629 0.564
0.371 0.629 0.936
0.629 0.371 0.064
0.629 0.371 0.436
0.237 0.763 0.250
0.763 0.237 0.750
0.000 0.000 0.000
0.000 0.000 0.500
0.246 0.754 0.096
0.246 0.754 0.404
0.422 0.578 0.750
0.578 0.422 0.250
0.754 0.246 0.596
0.754 0.246 0.904



Entry 8:
Ac2LaSm PBE-GGA relaxed; calculated total energy = -4.432 eV per atom; formation energy from the elements = 34.3 meV/atom; symmetry = R3m; energy above the lowest structure with this stoichiometry = 1.07 kJ/mol of atoms; total moment = 0.00 μB per formula unit
1.0
1.933 1.116 12.412
-1.933 1.116 12.412
0.000 -2.231 12.412
Ac La Sm
2 1 1
Direct
0.000 0.000 0.000
0.169 0.169 0.169
0.417 0.417 0.417
0.585 0.585 0.585



Entry 9:
UCd5Rh6 PBE-GGA relaxed; calculated total energy = -5.309 eV per atom; formation energy from the elements = -311.0 meV/atom; symmetry = Cmmm; total moment = 0.00 μB per formula unit
1.0
2.306 -6.793 0.000
2.306 6.793 0.000
0.000 0.000 6.653
U Cd Rh
1 5 6
Direct
0.000 0.000 0.000
0.000 0.000 0.500
0.326 0.674 0.000
0.330 0.670 0.500
0.670 0.330 0.500
0.674 0.326 0.000
0.155 0.845 0.238
0.155 0.845 0.762
0.500 0.500 0.241
0.500 0.500 0.759
0.845 0.155 0.238
0.845 0.155 0.762



Entry 10:
TmPuRu2 PBE-GGA relaxed; calculated total energy = -9.656 eV per atom; formation energy from the elements = -316.9 meV/atom; symmetry = P4/mmm; total moment = 4.01 μB per formula unit
1.0
3.355 0.000 0.000
0.000 3.355 0.000
0.000 0.000 6.792
Tm Pu Ru
1 1 2
Direct
0.000 0.000 0.000
0.000 0.000 0.500
0.500 0.500 0.263
0.500 0.500 0.737



Entry 11:
KIn2SiB PBE-GGA relaxed; calculated total energy = -2.499 eV per atom; symmetry = P4/mmm; uncorrected formation energy = 596.4 kJ/mol of formula units; total moment = 0.92 μB per formula unit
1.0
5.279 0.000 0.000
0.000 5.279 0.000
0.000 0.000 6.237
K In Si B
1 2 1 1
Direct
0.000 0.000 0.000
0.000 0.500 0.500
0.500 0.000 0.500
0.000 0.000 0.500
0.500 0.500 0.000



Entry 12:
CuIrO PBE-GGA relaxed; calculated total energy = -5.692 eV per atom; symmetry = R3; uncorrected formation energy = 81.1 kJ/mol of formula units; total moment = 0.00 μB per formula unit
1.0
2.479 1.431 5.659
-2.479 1.431 5.659
0.000 -2.862 5.659
Cu Ir O
3 3 3
Direct
0.005 0.492 0.503
0.492 0.503 0.005
0.503 0.005 0.492
0.466 0.466 0.466
0.786 0.786 0.786
0.958 0.958 0.958
0.175 0.860 0.552
0.552 0.175 0.860
0.860 0.552 0.175